La2Dy2Rh15: optimized geometry, PBE.

Output
ρ = 10.80 g/cm³
Formation enthalpy at 0 K = -692 kJ/mol of formula units
VASP energy = -7.18 eV/atom

Cell: 9.1879 9.1879 13.5389 Å, 90.00 90.00 120.00°
Space group R-3m (No. 166, hexagonal axes)
Asymmetric unit:
La1 0.0000 0.0000 0.1421 [6 per cell]
Dy1 0.0000 0.0000 0.3905 [6 per cell]
Rh1 0.0000 0.3049 0.5000 [18 per cell]
Rh2 0.0000 0.5000 0.0000 [9 per cell]
Rh3 0.0053 0.5026 0.6532 [18 per cell]